# 1
VASP calculation (PBEsol) on a geometry-optimized MnTcOs2 structure.

The calculation puts the magnetization at 3.03 μB per formula unit. Its volume is 55 Å³ per cell. For the density of states at the Fermi level, the calculation gives 4.6 states/eV/f.u. Its formation energy is 0.399 eV per atom. As for the total energy: -10.966 eV per atom.

The structure belongs to space group Pmmm (No. 47); the cell edges are 2.822, 4.403 and 4.445 Å and the angles 90.00°, 90.00° and 90.00°. The inequivalent atoms are Mn at (0.000, 0.000, 0.000), Tc at (0.500, 0.000, 0.500), Os at (0.000, 0.500, 0.500) and Os at (0.500, 0.500, 0.000).

=====

# 2
VASP calculation (PBEsol) on a geometry-optimized ZnFeCl2 structure.

The calculation puts the magnetization at 2.86 μB per formula unit. Its volume is 143 Å³ per cell. The calculation puts the uncorrected formation energy at 0.18 eV/atom. For the density of states at the Fermi level, the calculation gives 4.3 states/eV/f.u. As for the total energy: -3.464 eV per atom.

The structure belongs to space group I-4m2 (No. 119); the cell edges are 3.501, 3.501 and 11.631 Å and the angles 90.00°, 90.00° and 90.00°. The inequivalent atoms are Zn at (0.000, 0.000, 0.000), Fe at (0.000, 0.500, 0.750), Cl at (0.000, 0.000, 0.500) and Cl at (0.000, 0.500, 0.250).

=====

# 3
VASP calculation (PBEsol) on a geometry-optimized K2CoMo structure.

The calculation puts the magnetization at 3.09 μB per formula unit. Its volume is 339 Å³ per cell. For the density of states at the Fermi level, the calculation gives 6.6 states/eV/f.u. Its formation energy is 1.876 eV per atom. As for the total energy: -3.567 eV per atom.

The structure belongs to space group F-43m (No. 216); the cell edges are 6.974, 6.974 and 6.974 Å and the angles 90.00°, 90.00° and 90.00°. The inequivalent atoms are K at (0.000, 0.000, 0.000), K at (0.250, 0.250, 0.250), Co at (0.250, 0.250, 0.750) and Mo at (0.000, 0.000, 0.500).